Record 1
First-principles (PBE-GGA) data for crystalline NiAgSb at its relaxed geometry, as listed in the Alexandria database.

a = 4.369 Å, b = 4.369 Å, c = 3.335 Å
α = 90.00°, β = 90.00°, γ = 120.00°
Sites, in units of the cell vectors:
Ni (0.000, 0.000, 0.000)
Ag (0.333, 0.667, 0.500)
Sb (0.667, 0.333, 0.000)

Computed properties:
The uncorrected formation energy comes out at 0.14 eV per atom. The crystal system is hexagonal. The calculation puts the calculated density at 8685 kg/m³.

=====

Record 2
First-principles (PBE-GGA) data for crystalline RbLaCr2 at its relaxed geometry, as listed in the Alexandria database.

a = 10.790 Å, b = 10.790 Å, c = 10.790 Å
α = 149.74°, β = 149.74°, γ = 43.32°
Sites, in units of the cell vectors:
Rb (0.375, 0.625, 0.750)
Rb (0.625, 0.375, 0.250)
La (0.125, 0.875, 0.250)
La (0.875, 0.125, 0.750)
Cr (0.000, 0.000, 0.000)
Cr (0.000, 0.000, 0.500)
Cr (0.000, 0.500, 0.000)
Cr (0.500, 0.000, 0.500)

Computed properties:
The polymorph energy (0 for the lowest one) is 164.2 meV per atom. The formation energy comes out at 1.353 eV per atom. The crystal system is tetragonal. The calculation puts the calculated density at 3429 kg/m³.

=====

Record 3
First-principles (PBE-GGA) data for crystalline MgNbZnPd2 at its relaxed geometry, as listed in the Alexandria database.

a = 4.656 Å, b = 4.656 Å, c = 4.859 Å
α = 90.00°, β = 90.00°, γ = 90.00°
Sites, in units of the cell vectors:
Mg (0.000, 0.000, 0.000)
Nb (0.500, 0.500, 0.000)
Zn (0.500, 0.500, 0.500)
Pd (0.000, 0.500, 0.500)
Pd (0.500, 0.000, 0.500)

Computed properties:
The formation energy comes out at 0.617 eV per atom. The crystal system is tetragonal. The calculation puts the calculated density at 6235 kg/m³.

=====

Record 4
First-principles (PBE-GGA) data for crystalline Ag2RuBr at its relaxed geometry, as listed in the Alexandria database.

a = 5.240 Å, b = 5.240 Å, c = 2.874 Å
α = 90.00°, β = 90.00°, γ = 90.00°
Sites, in units of the cell vectors:
Ag (0.000, 0.500, 0.000)
Ag (0.500, 0.000, 0.000)
Ru (0.000, 0.000, 0.500)
Br (0.500, 0.500, 0.500)

Computed properties:
The uncorrected formation energy comes out at 0.84 eV per atom. The polymorph energy (0 for the lowest one) is 371.0 meV per atom. The crystal system is tetragonal. The calculation puts the calculated density at 8349 kg/m³.

=====

Record 5
First-principles (PBE-GGA) data for crystalline TmHfPb2 at its relaxed geometry, as listed in the Alexandria database.

a = 5.851 Å, b = 5.851 Å, c = 5.851 Å
α = 49.13°, β = 49.13°, γ = 49.13°
Sites, in units of the cell vectors:
Tm (0.000, 0.000, 0.000)
Hf (0.500, 0.500, 0.500)
Pb (0.245, 0.245, 0.245)
Pb (0.755, 0.755, 0.755)

Computed properties:
The polymorph energy (0 for the lowest one) is 33.0 meV per atom. The formation energy comes out at -0.075 eV per atom. The crystal system is trigonal. The calculation puts the calculated density at 12021 kg/m³.

=====

Record 6
First-principles (PBE-GGA) data for crystalline InAg2TeSe4 at its relaxed geometry, as listed in the Alexandria database.

a = 5.732 Å, b = 5.732 Å, c = 7.059 Å
α = 113.91°, β = 113.91°, γ = 90.07°
Sites, in units of the cell vectors:
In (0.000, 0.000, 0.000)
Ag (0.500, 0.500, 0.000)
Ag (0.751, 0.249, 0.500)
Te (0.250, 0.750, 0.500)
Se (0.003, 0.504, 0.007)
Se (0.247, 0.246, 0.493)
Se (0.496, 0.997, 0.993)
Se (0.754, 0.753, 0.507)

Computed properties:
The uncorrected formation energy comes out at -0.17 eV per atom. The crystal system is monoclinic. The calculation puts the calculated density at 6766 kg/m³.

=====

| no. | raw total energy (eV/atom) |
| --- | --- |
| 1 | -4.117 |
| 2 | -4.932 |
| 3 | -4.047 |
| 4 | -3.320 |
| 5 | -5.535 |
| 6 | -3.359 |